Record 1
Crystalline RhBr at its relaxed geometry. Source: the Alexandria database, functional GGA-PBE.

abc: 3.270 3.270 3.270
angles: 90.00 90.00 90.00
Space group Pm-3m (No. 221)
Inequivalent atoms, fractional coordinates:
Rh: 0.000 0.000 0.000 (multiplicity 1)
Br: 0.500 0.500 0.500 (multiplicity 1)

## Properties
* ΔE_f (raw): 0.668 eV per atom
* density: 8.7 Mg/m³


Record 2
Crystalline RhBr at its relaxed geometry. Source: the Alexandria database, functional GGA-PBE.

abc: 3.8637 3.8637 21.7554
angles: 90.00 90.00 120.00
Space group R-3m (No. 166, hexagonal axes)
Inequivalent atoms, fractional coordinates:
Rh: 0.0000 0.0000 0.1412 (multiplicity 6)
Br: 0.0000 0.0000 0.4118 (multiplicity 6)

## Properties
* ΔE_f (raw): 0.001 eV per atom
* density: 6.5 Mg/m³


Record 3
Crystalline RhBr5 at its relaxed geometry. Source: the Alexandria database, functional GGA-PBE.

abc: 8.650 8.650 8.650
angles: 90.00 90.00 90.00
Space group F-43m (No. 216)
Inequivalent atoms, fractional coordinates:
Rh: 0.000 0.000 0.000 (multiplicity 4)
Br: 0.125 0.125 0.375 (multiplicity 16)
Br: 0.250 0.250 0.750 (multiplicity 4)

## Properties
* energy relative to the lowest polymorph listed for this composition: 0.911 eV/atom
* ΔE_f (raw): 1.011 eV per atom
* density: 5.2 Mg/m³